PaI | PBE | optimized geometry

Computed properties:
- uncorrected energy (eV per atom) = -5.340

Lattice parameters (Å, degrees): 6.125 6.125 6.125 90.00 90.00 90.00
Atoms (fractional coordinates):
Pa  0.000  0.000  0.000
Pa  0.000  0.500  0.500
Pa  0.500  0.000  0.500
Pa  0.500  0.500  0.000
I  0.000  0.000  0.500
I  0.000  0.500  0.000
I  0.500  0.000  0.000
I  0.500  0.500  0.500